Entry from the Alexandria database: a relaxed Ti2Pt3 crystal (PBE).

Results
- formation energy from the elements (eV per atom) = -0.91
- total magnetic moment (μB per atom) = 0.000
- symmetry = C2/m, No. 12

Cell and atoms, written as POSCAR:
```
Ti2Pt3
1.0
4.410 -1.955 0.000
4.410 1.955 0.000
-4.189 0.000 4.536
Ti Pt
2 3
Direct
0.079 0.079 0.290
0.921 0.921 0.710
0.300 0.300 0.880
0.500 0.500 0.500
0.700 0.700 0.120
```